Entry 1:
MgCrCo2: optimized geometry, GGA-PBEsol.

Cell and atoms, written as POSCAR:
```
MgCrCo2
1.0
-2.724 -0.340 -0.467
0.410 -2.725 -0.407
-0.910 -1.041 6.062
Co Cr Mg
2 1 1
Direct
0.000 0.000 0.787
0.000 0.000 0.213
0.500 0.500 0.000
0.500 0.500 0.500
```

Computed properties:
Calculated total energy   -26.97 eV per cell
Calculated formation energy   0.116 eV/atom
Space-group type   P4/mmm (123)

---

Entry 2:
ScTl2CuRe: optimized geometry, GGA-PBEsol.

Cell and atoms, written as POSCAR:
```
ScTl2CuRe
1.0
4.561 0.000 0.000
0.000 5.350 0.000
0.000 0.000 5.350
Sc Re Tl Cu
1 1 2 1
Direct
0.000 0.000 0.000
0.500 0.500 0.500
0.000 0.000 0.500
0.000 0.500 0.000
0.500 0.000 0.000
```

Computed properties:
Calculated total energy   -20.17 eV per cell
Calculated formation energy   1.873 eV/atom
Space-group type   P4/mmm (123)

---

Entry 3:
BiSb2TeC: optimized geometry, GGA-PBEsol.

Cell and atoms, written as POSCAR:
```
BiSb2TeC
1.0
-0.082 -0.981 5.748
-4.616 -3.502 -0.663
3.525 -4.511 -0.720
Sb C Te Bi
2 1 1 1
Direct
0.000 0.500 0.000
0.500 0.000 0.000
0.500 0.500 0.500
0.000 0.000 0.500
0.000 0.000 0.000
```

Computed properties:
Calculated total energy   -15.00 eV per cell
Space-group type   P4/mmm (123)
Formation energy without anion corrections   11.57 eV/f.u.

---

Entry 4:
CsCo2H: optimized geometry, GGA-PBEsol.

Cell and atoms, written as POSCAR:
```
CsCo2H
1.0
5.493 0.000 0.000
2.747 4.757 0.000
2.747 1.586 4.485
Cs H Co
2 2 4
Direct
0.750 0.750 0.750
0.500 0.500 0.500
0.250 0.250 0.250
0.000 0.000 0.000
0.125 0.125 0.625
0.125 0.125 0.125
0.625 0.125 0.125
0.125 0.625 0.125
```

Computed properties:
Calculated total energy   -33.09 eV per cell
Space-group type   Fd-3m (227)

---

Entry 5:
TbInRh2: optimized geometry, GGA-PBEsol.

Cell and atoms, written as POSCAR:
```
TbInRh2
1.0
4.629 0.000 0.000
2.314 4.009 0.000
2.314 1.336 3.780
Tb Rh In
1 2 1
Direct
0.000 0.000 0.000
0.750 0.750 0.750
0.250 0.250 0.250
0.500 0.500 0.500
```

Computed properties:
Calculated total energy   -27.17 eV per cell
Calculated formation energy   -0.726 eV/atom
Space-group type   Fm-3m (225)

---

Entry 6:
La2Fe2Se2O3: optimized geometry, GGA-PBEsol.

Cell and atoms, written as POSCAR:
```
La2Fe2Se2O3
1.0
4.012 0.000 0.000
0.000 4.012 0.000
-2.006 -2.006 9.235
La Fe Se O
2 2 2 3
Direct
0.683 0.683 0.367
0.317 0.317 0.633
0.000 0.500 0.000
0.500 0.000 0.000
0.095 0.095 0.190
0.905 0.905 0.810
0.500 0.500 0.000
0.750 0.250 0.500
0.250 0.750 0.500
```

Computed properties:
Calculated total energy   -69.79 eV per cell
Space-group type   I4/mmm (139)
Formation energy without anion corrections   -17.73 eV/f.u.

---

Entry 7:
YAlBiIr2: optimized geometry, GGA-PBEsol.

Cell and atoms, written as POSCAR:
```
YAlBiIr2
1.0
4.949 0.000 0.000
0.000 4.949 0.000
0.000 0.000 5.104
Y Ir Bi Al
1 2 1 1
Direct
0.000 0.000 0.000
0.000 0.500 0.000
0.500 0.000 0.000
0.500 0.500 0.500
0.000 0.000 0.500
```

Computed properties:
Calculated total energy   -27.71 eV per cell
Calculated formation energy   1.428 eV/atom
Space-group type   P4/mmm (123)

---

Entry 8:
Ni2As2Br: optimized geometry, GGA-PBEsol.

Cell and atoms, written as POSCAR:
```
Ni2As2Br
1.0
-1.332 -2.526 1.994
-0.549 -1.948 -2.835
7.510 -0.660 1.139
Ni As Br
2 2 1
Direct
0.250 0.750 0.500
0.750 0.250 0.500
0.359 0.359 0.717
0.641 0.641 0.283
0.000 0.000 0.000
```

Computed properties:
Calculated total energy   -25.10 eV per cell
Space-group type   I4/mmm (139)
Formation energy without anion corrections   -0.71 eV/f.u.

---

Entry 9:
Zn2AsP: optimized geometry, GGA-PBEsol.

Cell and atoms, written as POSCAR:
```
Zn2AsP
1.0
4.479 0.000 0.000
2.239 3.879 0.000
2.239 1.293 3.657
As P Zn
1 1 2
Direct
0.000 0.000 0.000
0.500 0.500 0.500
0.250 0.250 0.250
0.750 0.750 0.750
```

Computed properties:
Calculated total energy   -12.69 eV per cell
E above lowest polymorph   69.6 meV per atom
Calculated formation energy   0.343 eV/atom
Space-group type   Fm-3m (225)

---

Entry 10:
LiBeW2: optimized geometry, GGA-PBEsol.

Cell and atoms, written as POSCAR:
```
LiBeW2
1.0
-0.214 1.723 -2.043
0.261 -0.872 -2.522
-8.972 -1.288 -1.907
Be Li W
1 1 2
Direct
0.500 0.500 0.500
0.000 0.000 0.000
0.243 0.243 0.271
0.757 0.757 0.729
```

Computed properties:
Calculated total energy   -31.51 eV per cell
Calculated formation energy   0.518 eV/atom
Space-group type   R-3m (166)

---

Entry 11:
Cs3Te22: optimized geometry, GGA-PBEsol.

Cell and atoms, written as POSCAR:
```
Cs3Te22
1.0
-6.549 -2.551 6.259
1.452 -9.042 -2.166
9.532 5.223 5.028
Cs Te
3 22
Direct
0.500 0.500 0.000
0.175 0.175 0.351
0.825 0.825 0.649
0.606 0.405 0.606
0.999 0.201 0.606
0.201 0.606 0.606
0.405 0.999 0.606
0.394 0.595 0.394
0.001 0.799 0.394
0.799 0.394 0.394
0.595 0.001 0.394
0.677 0.242 0.769
0.092 0.527 0.769
0.527 0.677 0.769
0.242 0.092 0.769
0.323 0.758 0.231
0.908 0.473 0.231
0.473 0.323 0.231
0.758 0.908 0.231
0.805 0.109 0.000
0.195 0.891 0.000
0.891 0.805 0.000
0.109 0.195 0.000
0.500 0.000 0.000
0.000 0.500 0.000
```

Computed properties:
Calculated total energy   -85.45 eV per cell
Space-group type   I4/m (87)
Formation energy without anion corrections   -5.05 eV/f.u.

---

Entry 12:
Tl3TcSb: optimized geometry, GGA-PBEsol.

Cell and atoms, written as POSCAR:
```
Tl3TcSb
1.0
5.261 0.000 0.000
0.000 5.261 0.000
0.000 0.000 5.261
Sb Tl Tc
1 3 1
Direct
0.500 0.500 0.500
0.000 0.500 0.000
0.000 0.000 0.500
0.500 0.000 0.000
0.000 0.000 0.000
```

Computed properties:
Calculated total energy   -20.12 eV per cell
Space-group type   Pm-3m (221)
Formation energy without anion corrections   3.59 eV/f.u.